(1)
PrErNi4: relaxed, PBE-GGA.

It has space group F-43m (No. 216), with a = 7.194 Å, b = 7.194 Å, c = 7.194 Å, α = 90.00°, β = 90.00° and γ = 90.00°. The inequivalent atoms are Pr at (0.000, 0.000, 0.000), Er at (0.250, 0.250, 0.250) and Ni at (0.124, 0.124, 0.624).

The total magnetic moment comes out at 0.00 Bohr magnetons per cell. The calculation puts the energy of formation from the pure elements at -2.25 eV/f.u. For the total energy, the calculation gives -5.643 eV per atom.

---

(2)
Pr2ErNi9: relaxed, PBE-GGA.

It has space group R-3m (No. 166, hexagonal axes), with a = 4.9656 Å, b = 4.9656 Å, c = 24.7200 Å, α = 90.00°, β = 90.00° and γ = 120.00°. The inequivalent atoms are Pr at (0.0000, 0.0000, 0.1382), Er at (0.0000, 0.0000, 0.0000), Ni at (0.0000, 0.0000, 0.3327), Ni at (0.0000, 0.0000, 0.5000) and Ni at (0.0011, 0.5006, 0.0794).

The total magnetic moment comes out at 1.89 Bohr magnetons per cell. The calculation puts the energy of formation from the pure elements at -3.90 eV/f.u. For the total energy, the calculation gives -5.676 eV per atom.

---

(3)
PrErSi4Ni2: relaxed, PBE-GGA.

It has space group Amm2 (No. 38), with a = 4.023 Å, b = 4.074 Å, c = 16.372 Å, α = 90.00°, β = 90.00° and γ = 90.00°. The inequivalent atoms are Pr at (0.000, 0.000, 0.000), Er at (0.500, 0.000, 0.212), Si at (0.000, 0.000, 0.353), Si at (0.000, 0.000, 0.647), Si at (0.500, 0.000, 0.567), Si at (0.500, 0.000, 0.853), Ni at (0.000, 0.000, 0.784) and Ni at (0.500, 0.000, 0.424).

The total magnetic moment comes out at 0.00 Bohr magnetons per cell. For the total energy, the calculation gives -6.082 eV per atom.

---

(4)
Pr2ErNi4Sn4: relaxed, PBE-GGA.

It has space group Immm (No. 71), with a = 4.533 Å, b = 6.882 Å, c = 14.708 Å, α = 90.00°, β = 90.00° and γ = 90.00°. The inequivalent atoms are Pr at (0.000, 0.000, 0.133), Er at (0.000, 0.500, 0.000), Ni at (0.000, 0.185, 0.328), Sn at (0.000, 0.291, 0.500) and Sn at (0.000, 0.500, 0.214).

The total magnetic moment comes out at 0.01 Bohr magnetons per cell. For the total energy, the calculation gives -5.289 eV per atom.